P.
A geometry-optimized PtPb3N structure. Source: the Alexandria database, functional GGA-PBE.

space group: Pm-3m (221)
crystal system: cubic
magnetic moment: 0.00 μB per cell

a = 5.333 Å, b = 5.333 Å, c = 5.333 Å
α = 90.00°, β = 90.00°, γ = 90.00°
Element x y z (fractional)
Pb  0.000  0.500  0.000
Pb  0.000  0.000  0.500
Pb  0.500  0.000  0.000
Pt  0.000  0.000  0.000
N  0.500  0.500  0.500

***

Q.
A geometry-optimized PtPb3N structure. Source: the Alexandria database, functional GGA-PBE.

space group: Pm-3m (221)
crystal system: cubic
magnetic moment: 0.00 μB per cell

a = 4.899 Å, b = 4.899 Å, c = 4.899 Å
α = 90.00°, β = 90.00°, γ = 90.00°
Element x y z (fractional)
Pb  0.000  0.500  0.000
Pb  0.000  0.000  0.500
Pb  0.500  0.000  0.000
Pt  0.500  0.500  0.500
N  0.000  0.000  0.000

***

Pick Q: it beats the second-best structure by 0.546 eV/atom.

***

P.
A geometry-optimized PtPbSe2N structure. Source: the Alexandria database, functional GGA-PBE.

space group: P4/mmm (123)
crystal system: tetragonal
magnetic moment: 0.00 μB per cell

a = 5.511 Å, b = 5.511 Å, c = 3.773 Å
α = 90.00°, β = 90.00°, γ = 90.00°
Element x y z (fractional)
Pb  0.500  0.500  0.500
Se  0.000  0.500  0.000
Se  0.500  0.000  0.000
Pt  0.000  0.000  0.000
N  0.000  0.000  0.500

***

Q.
A geometry-optimized PtPbSe2N structure. Source: the Alexandria database, functional GGA-PBE.

space group: P4/mmm (123)
crystal system: tetragonal
magnetic moment: 0.00 μB per cell

a = 5.440 Å, b = 5.440 Å, c = 4.106 Å
α = 90.00°, β = 90.00°, γ = 90.00°
Element x y z (fractional)
Pb  0.000  0.000  0.000
Se  0.000  0.500  0.000
Se  0.500  0.000  0.000
Pt  0.500  0.500  0.500
N  0.000  0.000  0.500

***

Pick P: it beats the second-best structure by 1.341 eV/atom.

***

P.
A geometry-optimized Rb2PbN structure. Source: the Alexandria database, functional GGA-PBE.

space group: I-42d (122)
crystal system: tetragonal
magnetic moment: 1.84 μB per cell

a = 12.500 Å, b = 12.500 Å, c = 9.135 Å
α = 46.83°, β = 46.83°, γ = 90.00°
Element x y z (fractional)
Pb  0.000  0.000  0.000
Pb  0.750  0.250  0.500
Rb  0.420  0.125  0.250
Rb  0.330  0.625  0.250
Rb  0.375  0.580  0.750
Rb  0.875  0.670  0.750
N  0.500  0.500  0.000
N  0.250  0.750  0.500

***

Q.
A geometry-optimized Rb2PbN structure. Source: the Alexandria database, functional GGA-PBE.

space group: Fm-3m (225)
crystal system: cubic
magnetic moment: 0.00 μB per cell

a = 5.722 Å, b = 5.722 Å, c = 5.722 Å
α = 60.00°, β = 60.00°, γ = 60.00°
Element x y z (fractional)
Pb  0.500  0.500  0.500
Rb  0.250  0.250  0.250
Rb  0.750  0.750  0.750
N  0.000  0.000  0.000

***

Pick P: it beats the second-best structure by 0.690 eV/atom.

***

P.
A geometry-optimized RbPb3N structure. Source: the Alexandria database, functional GGA-PBE.

space group: Pm-3m (221)
crystal system: cubic
magnetic moment: 0.00 μB per cell

a = 5.311 Å, b = 5.311 Å, c = 5.311 Å
α = 90.00°, β = 90.00°, γ = 90.00°
Element x y z (fractional)
Pb  0.000  0.500  0.000
Pb  0.000  0.000  0.500
Pb  0.500  0.000  0.000
Rb  0.500  0.500  0.500
N  0.000  0.000  0.000

***

Q.
A geometry-optimized RbPb3N structure. Source: the Alexandria database, functional GGA-PBE.

space group: Pm-3m (221)
crystal system: cubic
magnetic moment: 0.00 μB per cell

a = 6.210 Å, b = 6.210 Å, c = 6.210 Å
α = 90.00°, β = 90.00°, γ = 90.00°
Element x y z (fractional)
Pb  0.000  0.500  0.000
Pb  0.000  0.000  0.500
Pb  0.500  0.000  0.000
Rb  0.000  0.000  0.000
N  0.500  0.500  0.500

***

Pick P: it beats the second-best structure by 1.826 eV/atom.

***

P.
A geometry-optimized RbPbS2N structure. Source: the Alexandria database, functional GGA-PBE.

space group: P4/mmm (123)
crystal system: tetragonal
magnetic moment: 4.02 μB per cell

a = 5.752 Å, b = 5.752 Å, c = 4.969 Å
α = 90.00°, β = 90.00°, γ = 90.00°
Element x y z (fractional)
Pb  0.500  0.500  0.500
S  0.000  0.500  0.000
S  0.500  0.000  0.000
Rb  0.000  0.000  0.000
N  0.000  0.000  0.500

***

Q.
A geometry-optimized RbPbS2N structure. Source: the Alexandria database, functional GGA-PBE.

space group: P4/mmm (123)
crystal system: tetragonal
magnetic moment: 1.97 μB per cell

a = 5.374 Å, b = 5.374 Å, c = 4.755 Å
α = 90.00°, β = 90.00°, γ = 90.00°
Element x y z (fractional)
Pb  0.000  0.000  0.000
S  0.000  0.500  0.000
S  0.500  0.000  0.000
Rb  0.500  0.500  0.500
N  0.000  0.000  0.500

***

Pick Q: it beats the second-best structure by 0.912 eV/atom.

***

P.
A geometry-optimized RbTe2PbN structure. Source: the Alexandria database, functional GGA-PBE.

space group: P4/mmm (123)
crystal system: tetragonal
magnetic moment: 2.30 μB per cell

a = 6.135 Å, b = 6.135 Å, c = 4.678 Å
α = 90.00°, β = 90.00°, γ = 90.00°
Element x y z (fractional)
Pb  0.000  0.000  0.000
Te  0.000  0.500  0.000
Te  0.500  0.000  0.000
Rb  0.500  0.500  0.500
N  0.000  0.000  0.500

***

Q.
A geometry-optimized RbTe2PbN structure. Source: the Alexandria database, functional GGA-PBE.

space group: P4/mmm (123)
crystal system: tetragonal
magnetic moment: 2.60 μB per cell

a = 6.325 Å, b = 6.325 Å, c = 5.072 Å
α = 90.00°, β = 90.00°, γ = 90.00°
Element x y z (fractional)
Pb  0.500  0.500  0.500
Te  0.000  0.500  0.000
Te  0.500  0.000  0.000
Rb  0.000  0.000  0.000
N  0.000  0.000  0.500

***

Pick P: it beats the second-best structure by 0.746 eV/atom.

***

P.
A geometry-optimized RePbSeN2 structure. Source: the Alexandria database, functional GGA-PBE.

space group: P4/mmm (123)
crystal system: tetragonal
magnetic moment: 0.00 μB per cell

a = 3.985 Å, b = 3.985 Å, c = 5.410 Å
α = 90.00°, β = 90.00°, γ = 90.00°
Element x y z (fractional)
Pb  0.500  0.500  0.500
Re  0.000  0.000  0.000
Se  0.000  0.000  0.500
N  0.000  0.500  0.000
N  0.500  0.000  0.000

***

Q.
A geometry-optimized RePbSeN2 structure. Source: the Alexandria database, functional GGA-PBE.

space group: P4/mmm (123)
crystal system: tetragonal
magnetic moment: 4.49 μB per cell

a = 4.148 Å, b = 4.148 Å, c = 6.050 Å
α = 90.00°, β = 90.00°, γ = 90.00°
Element x y z (fractional)
Pb  0.000  0.000  0.000
Re  0.500  0.500  0.500
Se  0.000  0.000  0.500
N  0.000  0.500  0.000
N  0.500  0.000  0.000

***

Pick P: it beats the second-best structure by 2.073 eV/atom.